Below is a crystal of LaMg2B relaxed with PBEsol, with properties calculated at the SCAN level.

POSCAR file:
```
LaMg2B
1.0
-4.1081 -1.4565 3.0747
-2.1336 -5.9145 -1.0257
1.6353 -2.7481 5.5099
Mg B La
4 2 2
Cartesian
-1.0816 -2.2216 3.2860
-0.2886 -5.2017 5.2472
-3.2909 -4.5533 1.5429
-4.5519 -8.2617 5.0415
-2.0541 -0.7283 1.5373
-1.2762 -4.6954 3.0108
-3.3303 -5.4237 4.5481
0.0000 0.0000 0.0000
```

Calculated values
The value obtained for the formation enthalpy at 0 K is 0.35 eV per atom. As for the crystal system: tetragonal. The value obtained for the mass density is 3.7 g/cm³.


Below is a crystal of CaCoSe relaxed with PBEsol, with properties calculated at the SCAN level.

POSCAR file:
```
CaCoSe
1.0
4.2397 0.0000 0.0000
2.1198 3.6717 0.0000
2.1198 1.2239 3.4617
Co Se Ca
1 1 1
Cartesian
2.1198 1.2239 0.8654
0.0000 0.0000 0.0000
4.2397 2.4478 1.7308
```

Calculated values
The calculation puts the energy above the most stable polymorph in this dataset at 409 meV/atom. As for the crystal system: cubic. The value obtained for the mass density is 5.5 g/cm³. Its uncorrected formation energy is -0.93 eV per formula unit.